ThMg3Pt2 | PBE | relaxed

Formation energy from the elements, kJ per mole of atoms: -72.4

a = 3.9898 Å, b = 8.9155 Å, c = 9.1603 Å
α = 123.17°, β = 90.00°, γ = 102.93°
Last column: nearest neighbours and their distance in Å.
Sites, in units of the cell vectors:
Mg1 0.3226 0.6453 0.5467  4 Pt 2.75-2.81, 4 Mg 2.94-2.97
Pt1 0.5031 0.0062 0.8468  4 Mg 2.69-2.78, 1 Pt 2.87, 2 Th 2.92
Th1 0.1337 0.2674 0.0960  4 Pt 2.92-2.97
Mg2 0.0333 0.0666 0.3804  3 Pt 2.69-2.85, 3 Mg 2.97-3.00
Pt2 0.7828 0.5656 0.3080  6 Mg 2.75-2.85, 2 Th 2.97
Th2 0.8663 0.7326 0.9040  4 Pt 2.92-2.97
Mg3 0.6774 0.3547 0.4533  4 Pt 2.75-2.81, 4 Mg 2.94-2.97
Pt3 0.4969 0.9938 0.1532  4 Mg 2.69-2.78, 1 Pt 2.87, 2 Th 2.92
Mg4 0.3662 0.7324 0.2353  3 Pt 2.76
Mg5 0.6338 0.2676 0.7647  3 Pt 2.76
Pt4 0.2172 0.4344 0.6919  6 Mg 2.75-2.85, 2 Th 2.97
Mg6 0.9667 0.9334 0.6196  3 Pt 2.69-2.85, 3 Mg 2.97-3.00